TaTe2NF, PBEsol geometry, DFT SCAN; symmetry = No. 123; size of the total moment = 1.68 μB/cell; formation energy (no corrections) = -0.683 kcal/mol of atoms; distance to the lowest polymorph of the same formula = 0.00 kcal/mol of atoms
1.0
5.382 0.000 0.000
0.000 5.382 0.000
0.000 0.000 3.851
Ta Te N F
1 2 1 1
Direct
0.000 0.000 0.000
0.000 0.500 0.000
0.500 0.000 0.000
0.000 0.000 0.500
0.500 0.500 0.500

BN, PBEsol geometry, DFT SCAN; symmetry = No. 160; size of the total moment = 0.00 μB/cell; formation energy (no corrections) = -33.564 kcal/mol of atoms; distance to the lowest polymorph of the same formula = 0.00 kcal/mol of atoms
1.0
1.253 0.723 3.437
-1.253 0.723 3.437
0.000 -1.447 3.437
B N
1 1
Direct
0.000 0.000 0.000
0.333 0.333 0.333

Ti2CdOsAu, PBEsol geometry, DFT SCAN; symmetry = No. 123; size of the total moment = 0.55 μB/cell; energy = -197.26 eV/cell
1.0
4.740 0.000 0.000
0.000 4.740 0.000
0.000 0.000 4.846
Ti Cd Os Au
2 1 1 1
Direct
0.000 0.500 0.000
0.500 0.000 0.000
0.000 0.000 0.500
0.500 0.500 0.500
0.000 0.000 0.000

FeRhSe3, PBEsol geometry, DFT SCAN; symmetry = No. 221; size of the total moment = 5.12 μB/cell; formation energy (no corrections) = 16.047 kcal/mol of atoms
1.0
4.774 0.000 0.000
0.000 4.774 0.000
0.000 0.000 4.774
Fe Rh Se
1 1 3
Direct
0.000 0.000 0.000
0.500 0.500 0.500
0.000 0.500 0.500
0.500 0.000 0.500
0.500 0.500 0.000

YCo2Se, PBEsol geometry, DFT SCAN; symmetry = No. 71; size of the total moment = 0.00 μB/cell; formation energy (no corrections) = 2.837 kcal/mol of atoms
1.0
-1.749 2.226 3.875
1.749 -2.226 3.875
1.749 2.226 -3.875
Y Co Se
1 2 1
Direct
0.000 0.000 0.000
0.279 0.779 0.500
0.721 0.221 0.500
0.500 0.500 0.000

TlHF2, PBEsol geometry, DFT SCAN; symmetry = No. 166; size of the total moment = 0.00 μB/cell; distance to the lowest polymorph of the same formula = 0.00 kcal/mol of atoms
1.0
2.100 1.212 4.967
-2.100 1.212 4.967
0.000 -2.424 4.967
Tl H F
1 1 2
Direct
0.000 0.000 0.000
0.500 0.500 0.500
0.423 0.423 0.423
0.577 0.577 0.577

DyBi12O20, PBEsol geometry, DFT SCAN; symmetry = No. 197; size of the total moment = 0.00 μB/cell; formation energy (no corrections) = -29.521 kcal/mol of atoms
1.0
-5.055 5.055 5.055
5.055 -5.055 5.055
5.055 5.055 -5.055
Dy Bi O
1 12 20
Direct
0.000 0.000 0.000
0.148 0.830 0.321
0.170 0.318 0.491
0.173 0.682 0.852
0.318 0.491 0.170
0.321 0.148 0.830
0.491 0.170 0.318
0.509 0.827 0.679
0.679 0.509 0.827
0.682 0.852 0.173
0.827 0.679 0.509
0.830 0.321 0.148
0.852 0.173 0.682
0.000 0.000 0.327
0.000 0.000 0.750
0.000 0.327 0.000
0.000 0.750 0.000
0.119 0.354 0.740
0.235 0.881 0.621
0.250 0.250 0.250
0.260 0.614 0.379
0.327 0.000 0.000
0.354 0.740 0.119
0.379 0.260 0.614
0.386 0.646 0.765
0.614 0.379 0.260
0.621 0.235 0.881
0.646 0.765 0.386
0.673 0.673 0.673
0.740 0.119 0.354
0.750 0.000 0.000
0.765 0.386 0.646
0.881 0.621 0.235

MgPPt2, PBEsol geometry, DFT SCAN; symmetry = No. 123; size of the total moment = 0.00 μB/cell; energy = -157.58 eV/cell
1.0
4.024 0.000 0.000
0.000 4.024 0.000
0.000 0.000 3.611
Mg P Pt
1 1 2
Direct
0.000 0.000 0.000
0.500 0.500 0.000
0.000 0.500 0.500
0.500 0.000 0.500

Number 8 is which compound?
MgPPt2